{
  "formula": "Ac2ZnBi4",
  "functional": "PBE-GGA",
  "state": "optimized geometry",
  "cell": [[4.7169, 0.0000, 0.0000], [0.0000, 4.7169, 0.0000], [0.0000, 0.0000, 10.4531]],
  "species": ["Ac", "Ac", "Zn", "Bi", "Bi", "Bi", "Bi"],
  "fractional_positions": [[0.0000, 0.5000, 0.2391], [0.5000, 0.0000, 0.7609], [0.5000, 0.5000, 0.0000], [0.0000, 0.0000, 0.5000], [0.0000, 0.5000, 0.8504], [0.5000, 0.0000, 0.1496], [0.5000, 0.5000, 0.5000]],
  "spacegroup": "P-4m2",
  "volume_a3_per_cell": 233,
  "total_energy_ev_per_cell": -29.9
}